(1)
Compound: Rb2Tl3InHg4
Source: Alexandria
Functional: GGA-PBE
Structure: relaxed

Cell and atoms, written as POSCAR:
```
Rb2Tl3InHg4
1.0
-0.219 3.958 3.822
-5.355 -1.031 0.760
2.685 -7.846 8.279
In Tl Hg Rb
1 3 4 2
Direct
0.500 0.500 0.500
0.000 0.000 0.500
0.500 0.000 0.883
0.000 0.500 0.117
0.000 0.500 0.379
0.000 0.000 0.000
0.500 0.500 0.000
0.500 0.000 0.621
0.500 0.000 0.244
0.000 0.500 0.756
```

Values from the calculation:
Raw total energy (eV/atom): -1.416
Symmetry: No. 115
ΔE_f (eV per atom): -0.12

(2)
Compound: Pu3Ti5O12
Source: Alexandria
Functional: GGA-PBE
Structure: relaxed

Cell and atoms, written as POSCAR:
```
Pu3Ti5O12
1.0
-0.125 10.699 2.777
-1.013 -6.183 9.107
9.548 -2.389 -5.033
O Ti Pu
48 20 12
Direct
0.797 0.478 0.382
0.681 0.203 0.585
0.085 0.904 0.382
0.819 0.904 0.022
0.618 0.596 0.915
0.703 0.585 0.181
0.596 0.978 0.681
0.819 0.915 0.297
0.022 0.618 0.703
0.585 0.703 0.681
0.596 0.618 0.415
0.203 0.522 0.618
0.915 0.819 0.797
0.478 0.797 0.882
0.978 0.596 0.181
0.915 0.096 0.618
0.522 0.319 0.904
0.181 0.085 0.703
0.618 0.022 0.203
0.319 0.522 0.404
0.022 0.404 0.819
0.382 0.404 0.085
0.415 0.118 0.596
0.181 0.096 0.978
0.382 0.978 0.797
0.882 0.297 0.478
0.203 0.681 0.085
0.404 0.022 0.319
0.319 0.797 0.415
0.882 0.585 0.904
0.585 0.882 0.404
0.904 0.819 0.522
0.797 0.319 0.915
0.096 0.915 0.118
0.522 0.203 0.118
0.118 0.703 0.522
0.085 0.181 0.203
0.904 0.085 0.882
0.681 0.478 0.596
0.703 0.118 0.022
0.478 0.681 0.096
0.978 0.382 0.297
0.118 0.415 0.096
0.096 0.181 0.478
0.404 0.382 0.585
0.415 0.297 0.319
0.297 0.882 0.978
0.297 0.415 0.819
0.500 0.500 0.000
0.125 0.375 0.250
0.750 0.625 0.375
0.500 0.000 0.500
0.000 0.500 0.500
0.500 0.000 0.000
0.250 0.875 0.125
0.875 0.250 0.625
0.125 0.750 0.375
0.250 0.375 0.625
0.625 0.750 0.875
0.000 0.500 0.000
0.000 0.000 0.500
0.500 0.500 0.500
0.875 0.625 0.750
0.375 0.125 0.750
0.750 0.125 0.875
0.375 0.250 0.125
0.625 0.875 0.250
0.000 0.000 0.000
0.375 0.750 0.625
0.250 0.625 0.875
0.375 0.625 0.250
0.625 0.375 0.750
0.125 0.875 0.750
0.750 0.875 0.625
0.875 0.750 0.125
0.125 0.250 0.875
0.875 0.125 0.250
0.750 0.375 0.125
0.250 0.125 0.375
0.625 0.250 0.375
```

Values from the calculation:
Raw total energy (eV/atom): -10.003
Symmetry: No. 230
E_form (uncorrected) (kcal/mol of atoms): -66.98

(3)
Compound: Sc2PtW
Source: Alexandria
Functional: GGA-PBE
Structure: relaxed

Cell and atoms, written as POSCAR:
```
Sc2PtW
1.0
4.773 0.038 0.000
-0.035 4.773 0.000
0.000 0.000 3.163
Pt Sc W
1 2 1
Direct
0.000 0.500 0.500
0.500 0.500 0.000
0.000 0.000 0.000
0.500 0.000 0.500
```

Values from the calculation:
Raw total energy (eV/atom): -8.247
Symmetry: No. 123
Energy above the lowest structure with this stoichiometry (kJ/mol of formula units): 24
ΔE_f (eV per atom): -0.33

(4)
Compound: Dy6TmSc2
Source: Alexandria
Functional: GGA-PBE
Structure: relaxed

Cell and atoms, written as POSCAR:
```
Dy6TmSc2
1.0
-2.152 -6.129 -0.226
5.255 -3.405 -6.849
5.760 -4.058 6.040
Dy Sc Tm
12 4 2
Direct
0.814 0.968 0.792
0.000 0.328 0.618
0.186 0.032 0.208
0.500 0.382 0.672
0.314 0.792 0.968
0.765 0.539 0.950
0.500 0.618 0.328
0.686 0.208 0.032
0.235 0.461 0.050
0.735 0.050 0.461
0.000 0.672 0.382
0.265 0.950 0.539
0.374 0.290 0.346
0.874 0.346 0.290
0.626 0.710 0.654
0.126 0.654 0.710
0.250 0.139 0.861
0.750 0.861 0.139
```

Values from the calculation:
Raw total energy (eV/atom): -4.836
Symmetry: No. 15
Energy above the lowest structure with this stoichiometry (kJ/mol of formula units): 52
ΔE_f (eV per atom): 0.14